[1]
Rb3HgSe | GGA-PBEsol | optimized geometry

```
5
Lattice="6.5153 0.0000 0.0000 0.0000 6.5153 0.0000 0.0000 0.0000 6.5153" Properties=species:S:1:pos:R:3 pbc="T T T"
Rb 0.0000 0.0000 3.2576
Rb 0.0000 3.2576 0.0000
Rb 3.2576 0.0000 0.0000
Hg 3.2576 3.2576 3.2576
Se 0.0000 0.0000 0.0000
```

The space-group type is Pm-3m. For the raw formation energy, the calculation gives -246.1 kJ/mol of formula units.

---

[2]
OsRuRh2 | GGA-PBEsol | optimized geometry

```
8
Lattice="8.9012 0.0000 0.0000 0.0000 2.6700 0.0000 -0.7994 0.0000 4.5539" Properties=species:S:1:pos:R:3 pbc="T T T"
Os 0.0000 0.0000 0.0000
Os 4.4506 1.3350 0.0000
Ru -0.3997 1.3350 2.2769
Ru 4.0509 0.0000 2.2769
Rh 1.6284 0.0000 3.4168
Rh 2.0228 1.3350 1.1370
Rh 6.4734 0.0000 1.1370
Rh 6.0790 1.3350 3.4168
```

The space-group type is C2/m. The value obtained for the polymorph energy (0 for the lowest one) is 24 meV/atom. The energy of formation from the pure elements comes out at 0.06 eV per atom.

---

[3]
Zn4TeIr | GGA-PBEsol | optimized geometry

```
6
Lattice="0.0000 3.5855 3.5855 3.5855 0.0000 3.5855 3.5855 3.5855 0.0000" Properties=species:S:1:pos:R:3 pbc="T T T"
Zn 0.8884 0.8884 0.8884
Zn 2.6972 2.6972 0.8884
Zn 2.6972 0.8884 2.6972
Zn 0.8884 2.6972 2.6972
Te 3.5855 3.5855 3.5855
Ir 5.3783 5.3783 5.3783
```

The space-group type is F-43m. For the raw formation energy, the calculation gives 122.5 kJ/mol of formula units.

---

[4]
YGeBiO5 | GGA-PBEsol | optimized geometry

```
64
Lattice="5.3370 0.0000 0.0000 0.0000 15.2159 0.0000 0.0000 0.0000 11.0185" Properties=species:S:1:pos:R:3 pbc="T T T"
Y 0.0556 0.8179 1.5573
Y 0.0556 6.7901 7.0666
Y 2.6129 8.4258 1.5573
Y 2.6129 14.3980 7.0666
Y 2.7241 0.8179 3.9520
Y 2.7241 6.7901 9.4612
Y 5.2814 8.4258 3.9520
Y 5.2814 14.3980 9.4612
Ge 0.0330 1.4635 6.5733
Ge 0.0330 6.1445 1.0641
Ge 2.6356 9.0714 6.5733
Ge 2.6356 13.7524 1.0641
Ge 2.7015 1.4635 9.9545
Ge 2.7015 6.1445 4.4452
Ge 5.3041 9.0714 9.9545
Ge 5.3041 13.7524 4.4452
Bi 0.2210 11.2361 1.6132
Bi 0.2210 11.5877 7.1224
Bi 2.4475 3.6281 1.6132
Bi 2.4475 3.9798 7.1224
Bi 2.8895 11.2361 3.8961
Bi 2.8895 11.5877 9.4053
Bi 5.1160 3.6281 3.8961
Bi 5.1160 3.9798 9.4053
O 0.3382 3.0302 7.3718
O 0.3382 4.5777 1.8626
O 0.7753 7.9328 8.9061
O 0.7753 14.8910 3.3968
O 1.0266 9.5304 0.2834
O 1.0266 13.2934 5.7927
O 1.0603 8.5552 5.9615
O 1.0603 14.2686 0.4523
O 1.3269 2.2985 2.9165
O 1.3269 5.3095 8.4258
O 1.3416 9.9064 2.9165
O 1.3416 12.9174 8.4258
O 1.6083 0.9473 5.9615
O 1.6083 6.6606 0.4523
O 1.6419 1.9225 0.2834
O 1.6419 5.6855 5.7927
O 1.8932 0.3249 8.9061
O 1.8932 7.2831 3.3968
O 2.3303 10.6381 7.3718
O 2.3303 12.1857 1.8626
O 3.0067 3.0302 9.1560
O 3.0067 4.5777 3.6467
O 3.4438 7.9328 7.6217
O 3.4438 14.8910 2.1124
O 3.6951 9.5304 5.2258
O 3.6951 13.2934 10.7351
O 3.7288 8.5552 10.5663
O 3.7288 14.2686 5.0570
O 3.9954 2.2985 2.5927
O 3.9954 5.3095 8.1020
O 4.0101 9.9064 2.5927
O 4.0101 12.9174 8.1020
O 4.2768 0.9473 10.5663
O 4.2768 6.6606 5.0570
O 4.3104 1.9225 5.2258
O 4.3104 5.6855 10.7351
O 4.5617 0.3249 7.6217
O 4.5617 7.2831 2.1124
O 4.9988 10.6381 9.1560
O 4.9988 12.1857 3.6467
```

The space-group type is Pbca. For the raw formation energy, the calculation gives -1736.0 kJ/mol of formula units.

---

[5]
ZnMoCl2 | GGA-PBEsol | optimized geometry

```
8
Lattice="9.8544 0.0000 0.0000 0.0000 2.9415 0.0000 -2.6630 0.0000 6.3677" Properties=species:S:1:pos:R:3 pbc="T T T"
Zn 0.0000 0.0000 0.0000
Zn 4.9272 1.4708 0.0000
Mo -0.3920 1.4708 6.3676
Mo 4.5352 0.0000 6.3676
Cl -0.1215 0.0000 4.4660
Cl 2.5419 0.0000 1.9010
Cl 4.8057 1.4708 4.4660
Cl 7.4691 1.4708 1.9010
```

The space-group type is Cm. The value obtained for the polymorph energy (0 for the lowest one) is 0 meV/atom. For the raw formation energy, the calculation gives -56.4 kJ/mol of formula units.

---

[6]
BaNaY3 | GGA-PBEsol | optimized geometry

```
5
Lattice="5.7293 0.0000 0.0000 0.0000 5.7293 0.0000 0.0000 0.0000 5.7293" Properties=species:S:1:pos:R:3 pbc="T T T"
Ba 0.0000 0.0000 0.0000
Na 2.8647 2.8647 2.8647
Y 0.0000 2.8647 2.8647
Y 2.8647 0.0000 2.8647
Y 2.8647 2.8647 0.0000
```

The space-group type is Pm-3m. The value obtained for the polymorph energy (0 for the lowest one) is 0 meV/atom. The energy of formation from the pure elements comes out at 0.69 eV per atom.

---

[7]
BaNiSbI2 | GGA-PBEsol | optimized geometry

```
5
Lattice="5.3773 0.0000 0.0000 0.0000 5.3773 0.0000 0.0000 0.0000 5.0714" Properties=species:S:1:pos:R:3 pbc="T T T"
Ba 0.0000 0.0000 0.0000
Ni 2.6886 2.6886 2.5357
Sb 2.6886 2.6886 0.0000
I 0.0000 2.6886 2.5357
I 2.6886 0.0000 2.5357
```

The space-group type is P4/mmm. For the raw formation energy, the calculation gives -264.5 kJ/mol of formula units.

---

[8]
MnReHg2Sb | GGA-PBEsol | optimized geometry

```
5
Lattice="5.2080 0.0000 0.0000 0.0000 5.2080 0.0000 0.0000 0.0000 4.5186" Properties=species:S:1:pos:R:3 pbc="T T T"
Mn 0.0000 0.0000 0.0000
Re 0.0000 0.0000 2.2593
Hg 0.0000 2.6040 2.2593
Hg 2.6040 0.0000 2.2593
Sb 2.6040 2.6040 0.0000
```

The space-group type is P4/mmm. For the raw formation energy, the calculation gives 576.9 kJ/mol of formula units.

---

[9]
Sr2LiMn | GGA-PBEsol | optimized geometry

```
4
Lattice="3.8342 0.0000 0.0000 0.0000 3.8342 0.0000 0.0000 0.0000 8.6228" Properties=species:S:1:pos:R:3 pbc="T T T"
Sr 0.0000 0.0000 0.0000
Sr 1.9171 1.9171 3.2270
Li 0.0000 0.0000 5.4682
Mn 1.9171 1.9171 6.5623
```

The space-group type is P4mm. The energy of formation from the pure elements comes out at 0.45 eV per atom.

---

[10]
CoPb2W | GGA-PBEsol | optimized geometry

```
12
Lattice="3.1470 0.0000 0.0000 -1.5735 2.7253 0.0000 0.0000 0.0000 25.6063" Properties=species:S:1:pos:R:3 pbc="T T T"
Co 0.0000 0.0000 0.0000
Co 0.0000 1.8169 17.0708
Co 1.5735 0.9084 8.5354
Pb 0.0000 0.0000 6.5939
Pb 0.0000 0.0000 19.0124
Pb 0.0000 1.8169 10.4770
Pb 0.0000 1.8169 23.6647
Pb 1.5735 0.9084 1.9415
Pb 1.5735 0.9084 15.1293
W 0.0000 0.0000 12.8031
W 0.0000 1.8169 4.2677
W 1.5735 0.9084 21.3385
```

The space-group type is R-3m. The value obtained for the polymorph energy (0 for the lowest one) is 0 meV/atom. The energy of formation from the pure elements comes out at 0.92 eV per atom.

---

[11]
FeCuP2 | GGA-PBEsol | optimized geometry

```
4
Lattice="3.7908 0.0000 0.0000 0.0000 2.8663 0.0000 -1.8584 0.0000 4.3281" Properties=species:S:1:pos:R:3 pbc="T T T"
Fe 0.0000 0.0000 0.0000
Cu 0.9662 1.4332 2.1640
P -0.9292 0.0000 2.1640
P 1.8954 1.4332 0.0000
```

The space-group type is P2/m. The energy of formation from the pure elements comes out at 0.00 eV per atom.

---

[12]
Sr2ScTa | GGA-PBEsol | optimized geometry

```
4
Lattice="3.2181 0.0000 0.0000 0.0000 5.3020 0.0000 0.0000 0.0000 6.5928" Properties=species:S:1:pos:R:3 pbc="T T T"
Sr 0.0000 0.0000 1.5657
Sr 0.0000 0.0000 5.0271
Sc 1.6090 2.6510 3.2964
Ta 1.6090 2.6510 0.0000
```

The space-group type is Pmmm. The value obtained for the polymorph energy (0 for the lowest one) is 0 meV/atom. The energy of formation from the pure elements comes out at 0.90 eV per atom.

---

[13]
AuSeBr2 | GGA-PBEsol | optimized geometry

```
12
Lattice="3.0848 0.0000 0.0000 -1.5424 2.6715 0.0000 0.0000 0.0000 34.1174" Properties=species:S:1:pos:R:3 pbc="T T T"
Au 0.0000 0.0000 0.0000
Au 0.0000 1.7810 22.7449
Au 1.5424 0.8905 11.3724
Se 0.0000 0.0000 17.0587
Se 0.0000 1.7810 5.6862
Se 1.5424 0.8905 28.4311
Br 0.0000 0.0000 2.4339
Br 0.0000 0.0000 31.6835
Br 0.0000 1.7810 20.3111
Br 0.0000 1.7810 25.1787
Br 1.5424 0.8905 8.9386
Br 1.5424 0.8905 13.8063
```

The space-group type is R-3m. The value obtained for the polymorph energy (0 for the lowest one) is 311 meV/atom. For the raw formation energy, the calculation gives 141.8 kJ/mol of formula units.

---

[14]
Cu2Si2Pb7S4O26 | GGA-PBEsol | optimized geometry

```
41
Lattice="10.2728 -2.8035 0.0000 10.2728 2.8035 0.0000 -0.1220 0.0000 9.4035" Properties=species:S:1:pos:R:3 pbc="T T T"
Cu 5.1364 1.4017 0.0000
Cu 5.1364 -1.4017 0.0000
Si 2.1756 0.0000 0.0632
Si 18.2481 0.0000 9.3404
Pb 0.5061 0.0000 2.7526
Pb 3.1322 0.0000 6.2665
Pb 7.1677 0.0000 6.9817
Pb 10.2728 0.0000 0.0000
Pb 13.2559 0.0000 2.4218
Pb 17.2914 0.0000 3.1370
Pb 19.9175 0.0000 6.6509
S 4.7513 0.0000 3.2437
S 8.8581 0.0000 3.3143
S 11.5656 0.0000 6.0892
S 15.6724 0.0000 6.1598
O 5.0011 1.2150 2.3954
O 1.3172 0.0000 8.0124
O 8.4057 1.5250 8.4098
O 3.3014 0.0000 3.6213
O 3.7239 0.0000 9.1516
O 8.7796 1.2309 4.1646
O 5.6129 0.0000 4.4226
O 6.1451 0.0000 9.1506
O 12.0179 1.5250 0.9937
O 11.6441 1.2309 5.2389
O 7.7870 0.0000 2.3132
O 5.0011 -1.2150 2.3954
O 10.2081 0.0000 2.6317
O 10.2155 0.0000 6.7718
O 15.4225 1.2150 7.0081
O 12.6366 0.0000 7.0903
O 8.7796 -1.2309 4.1646
O 8.4057 -1.5250 8.4098
O 14.2785 0.0000 0.2529
O 14.8107 0.0000 4.9809
O 11.6441 -1.2309 5.2389
O 16.6997 0.0000 0.2519
O 17.1222 0.0000 5.7822
O 12.0179 -1.5250 0.9937
O 19.1064 0.0000 1.3911
O 15.4225 -1.2150 7.0081
```

The space-group type is C2/m. For the raw formation energy, the calculation gives -5850.1 kJ/mol of formula units.

---

[15]
MnZn2Ir | GGA-PBEsol | optimized geometry

```
16
Lattice="5.9776 0.0000 0.0000 0.0000 5.9776 0.0000 0.0000 0.0000 5.9776" Properties=species:S:1:pos:R:3 pbc="T T T"
Mn 0.0000 0.0000 0.0000
Mn 0.0000 2.9888 2.9888
Mn 2.9888 0.0000 2.9888
Mn 2.9888 2.9888 0.0000
Zn 0.0000 0.0000 2.9888
Zn 0.0000 2.9888 0.0000
Zn 1.4944 1.4944 4.4832
Zn 1.4944 4.4832 1.4944
Zn 2.9888 0.0000 0.0000
Zn 2.9888 2.9888 2.9888
Zn 4.4832 1.4944 1.4944
Zn 4.4832 4.4832 4.4832
Ir 1.4944 1.4944 1.4944
Ir 1.4944 4.4832 4.4832
Ir 4.4832 1.4944 4.4832
Ir 4.4832 4.4832 1.4944
```

The space-group type is F-43m. The energy of formation from the pure elements comes out at -0.05 eV per atom.

---

[16]
HfTi2Zn2 | GGA-PBEsol | optimized geometry

```
10
Lattice="3.8685 0.0000 0.0000 0.0000 3.8685 0.0000 0.0000 0.0000 11.5692" Properties=species:S:1:pos:R:3 pbc="T T T"
Hf 0.0000 0.0000 0.0000
Hf 1.9342 1.9342 5.7846
Ti 0.0000 0.0000 4.5887
Ti 0.0000 0.0000 6.9805
Ti 1.9342 1.9342 1.1959
Ti 1.9342 1.9342 10.3733
Zn 0.0000 1.9342 2.8923
Zn 0.0000 1.9342 8.6769
Zn 1.9342 0.0000 2.8923
Zn 1.9342 0.0000 8.6769
```

The space-group type is I4/mmm. The value obtained for the polymorph energy (0 for the lowest one) is 318 meV/atom. The energy of formation from the pure elements comes out at 0.23 eV per atom.

---

[17]
CaHf2BAu | GGA-PBEsol | optimized geometry

```
5
Lattice="4.8996 0.0000 0.0000 0.0000 4.8996 0.0000 0.0000 0.0000 4.1982" Properties=species:S:1:pos:R:3 pbc="T T T"
Ca 0.0000 0.0000 0.0000
Hf 0.0000 2.4498 0.0000
Hf 2.4498 0.0000 0.0000
B 0.0000 0.0000 2.0991
Au 2.4498 2.4498 2.0991
```

The space-group type is P4/mmm. The energy of formation from the pure elements comes out at 2.02 eV per atom.

---

[18]
MgReSi2 | GGA-PBEsol | optimized geometry

```
8
Lattice="3.3131 0.0000 0.0000 0.0000 4.4254 0.0000 0.0000 0.0000 8.1810" Properties=species:S:1:pos:R:3 pbc="T T T"
Mg 0.0000 0.0000 0.0000
Mg 1.6566 2.2127 0.0000
Re 0.0000 2.2127 2.2057
Re 1.6566 0.0000 2.2057
Si 0.0000 0.0000 4.0274
Si 0.0000 2.2127 5.9458
Si 1.6566 0.0000 5.9458
Si 1.6566 2.2127 4.0274
```

The space-group type is Cmm2. For the raw formation energy, the calculation gives 106.8 kJ/mol of formula units.

---

[19]
Cs4Ga2Se5 | GGA-PBEsol | optimized geometry

```
22
Lattice="8.4680 0.0000 0.0000 1.5920 8.7497 0.0000 0.3212 2.7746 10.7559" Properties=species:S:1:pos:R:3 pbc="T T T"
Cs 0.6936 1.9303 0.0591
Cs 0.8240 2.7532 4.2620
Cs 3.6806 5.3254 6.7362
Cs 5.4803 9.8572 8.0633
Cs 4.9009 1.6670 2.6926
Cs 6.7005 6.1989 4.0197
Cs 9.5572 8.7710 6.4938
Cs 9.6876 9.5939 10.6968
Ga 3.0994 7.6281 3.1164
Ga 4.3973 5.4519 1.0326
Ga 5.9839 6.0723 9.7233
Ga 7.2818 3.8961 7.6395
Se 0.9956 2.9954 7.8252
Se 3.1293 5.1072 3.0428
Se 3.7607 7.0948 9.8515
Se 4.2812 8.5068 4.9712
Se 4.4189 7.8466 1.0114
Se 5.9623 3.6776 9.7445
Se 6.1000 3.0174 5.7847
Se 6.6205 4.4294 0.9044
Se 7.2519 6.4171 7.7130
Se 9.3856 8.5288 2.9307
```

The space-group type is P-1. For the raw formation energy, the calculation gives -1124.0 kJ/mol of formula units.

---

[20]
AlReNi6 | GGA-PBEsol | optimized geometry

```
32
Lattice="3.5463 -5.0138 0.0000 3.5463 5.0138 0.0000 0.0000 0.0000 10.0263" Properties=species:S:1:pos:R:3 pbc="T T T"
Al 0.0000 0.0000 2.4780
Al 0.0000 0.0000 7.5483
Al 3.5463 2.5019 0.0000
Al 3.5463 -2.5019 0.0000
Re 3.5463 2.5143 5.0132
Re 3.5463 0.0000 2.4460
Re 3.5463 0.0000 7.5803
Re 3.5463 -2.5143 5.0132
Ni 0.0000 0.0000 0.0000
Ni 0.0000 0.0000 5.0132
Ni 1.7786 1.2495 1.2561
Ni 1.7786 1.2495 8.7703
Ni 1.7859 1.2622 3.7563
Ni 1.7859 1.2622 6.2700
Ni 3.5463 2.4924 2.5287
Ni 3.5463 2.4924 7.4977
Ni 1.7786 -1.2495 1.2561
Ni 1.7786 -1.2495 8.7703
Ni 1.7859 -1.2622 3.7563
Ni 1.7859 -1.2622 6.2700
Ni 3.5463 0.0000 0.0000
Ni 3.5463 0.0000 5.0132
Ni 5.3066 1.2622 3.7563
Ni 5.3066 1.2622 6.2700
Ni 5.3139 1.2495 1.2561
Ni 5.3139 1.2495 8.7703
Ni 3.5463 -2.4924 2.5287
Ni 3.5463 -2.4924 7.4977
Ni 5.3066 -1.2622 3.7563
Ni 5.3066 -1.2622 6.2700
Ni 5.3139 -1.2495 1.2561
Ni 5.3139 -1.2495 8.7703
```

The space-group type is Cmmm. The energy of formation from the pure elements comes out at -0.20 eV per atom.